VRePCl2: optimized geometry, PBE.

Lattice parameters (Å, degrees): 4.8853 4.8853 4.5898 90.00 90.00 90.00
Each line ends with the local moment (μB).
Fractional positions:
Re 0.0000 0.0000 0.0000  -0.79
Cl 0.0000 0.5000 0.0000  -0.04
Cl 0.5000 0.0000 0.0000  -0.04
P 0.0000 0.0000 0.5000  -0.04
V 0.5000 0.5000 0.5000  3.12

Properties
Total DFT energy (no corrections)   -5.375 eV per atom
Excess energy over the best structure of this formula in the dataset   0.00 eV per formula unit
SG   No. 123

=====

VRePCl2: optimized geometry, PBE.

Lattice parameters (Å, degrees): 4.4128 4.4128 5.2404 90.00 90.00 90.00
Each line ends with the local moment (μB).
Fractional positions:
Re 0.5000 0.5000 0.5000  3.78
Cl 0.0000 0.5000 0.0000  0.04
Cl 0.5000 0.0000 0.0000  0.04
P 0.0000 0.0000 0.5000  -0.10
V 0.0000 0.0000 0.0000  0.06

Properties
Total DFT energy (no corrections)   -5.278 eV per atom
Excess energy over the best structure of this formula in the dataset   0.48 eV per formula unit
SG   No. 123

=====

ReP2WCl: optimized geometry, PBE.

Lattice parameters (Å, degrees): 4.5779 4.5779 4.9442 90.00 90.00 90.00
Each line ends with the local moment (μB).
Fractional positions:
Re 0.0000 0.0000 0.0000  0.48
P 0.0000 0.5000 0.0000  -0.09
P 0.5000 0.0000 0.0000  -0.09
W 0.5000 0.5000 0.5000  3.16
Cl 0.0000 0.0000 0.5000  0.01

Properties
Total DFT energy (no corrections)   -6.211 eV per atom
Excess energy over the best structure of this formula in the dataset   0.20 eV per formula unit
SG   No. 123

=====

ReP2WCl: optimized geometry, PBE.

Lattice parameters (Å, degrees): 4.7514 4.7514 4.6886 90.00 90.00 90.00
Each line ends with the local moment (μB).
Fractional positions:
Re 0.5000 0.5000 0.5000  3.76
P 0.0000 0.5000 0.0000  -0.10
P 0.5000 0.0000 0.0000  -0.10
W 0.0000 0.0000 0.0000  0.51
Cl 0.0000 0.0000 0.5000  0.10

Properties
Total DFT energy (no corrections)   -6.251 eV per atom
Excess energy over the best structure of this formula in the dataset   0.00 eV per formula unit
SG   No. 123

=====

ZnReP2Cl: optimized geometry, PBE.

Lattice parameters (Å, degrees): 4.6441 4.6441 4.6563 90.00 90.00 90.00
Each line ends with the local moment (μB).
Fractional positions:
Re 0.5000 0.5000 0.5000  3.41
Zn 0.0000 0.0000 0.0000  0.02
P 0.0000 0.5000 0.0000  -0.18
P 0.5000 0.0000 0.0000  -0.18
Cl 0.0000 0.0000 0.5000  0.04

Properties
Total DFT energy (no corrections)   -3.865 eV per atom
Excess energy over the best structure of this formula in the dataset   4.95 eV per formula unit
SG   No. 123

=====

ZnReP2Cl: optimized geometry, PBE.

Lattice parameters (Å, degrees): 4.5598 4.5598 5.2268 90.00 90.00 90.00
Fractional positions:
Re 0.0000 0.0000 0.0000
Zn 0.5000 0.5000 0.5000
P 0.0000 0.5000 0.0000
P 0.5000 0.0000 0.0000
Cl 0.0000 0.0000 0.5000

Properties
Total DFT energy (no corrections)   -4.856 eV per atom
Excess energy over the best structure of this formula in the dataset   0.00 eV per formula unit
SG   No. 123

=====

ZrRePCl2: optimized geometry, PBE.

Lattice parameters (Å, degrees): 4.7087 4.7087 4.6834 90.00 90.00 90.00
Each line ends with the local moment (μB).
Fractional positions:
Re 0.0000 0.0000 0.0000  0.54
P 0.0000 0.0000 0.5000  -0.02
Zr 0.5000 0.5000 0.5000  0.05
Cl 0.0000 0.5000 0.0000  0.01
Cl 0.5000 0.0000 0.0000  0.01

Properties
Total DFT energy (no corrections)   -5.429 eV per atom
Excess energy over the best structure of this formula in the dataset   0.26 eV per formula unit
SG   No. 123

=====

ZrRePCl2: optimized geometry, PBE.

Lattice parameters (Å, degrees): 4.9158 4.9158 5.2891 90.00 90.00 90.00
Each line ends with the local moment (μB).
Fractional positions:
Re 0.5000 0.5000 0.5000  4.15
P 0.0000 0.0000 0.5000  -0.03
Zr 0.0000 0.0000 0.0000  0.12
Cl 0.0000 0.5000 0.0000  0.04
Cl 0.5000 0.0000 0.0000  0.04

Properties
Total DFT energy (no corrections)   -5.481 eV per atom
Excess energy over the best structure of this formula in the dataset   0.00 eV per formula unit
SG   No. 123

=====

PRh2Cl: optimized geometry, PBE.

Lattice parameters (Å, degrees): 3.2466 3.2466 6.9486 90.00 90.00 115.95
Fractional positions:
Cl 0.5000 0.5000 0.2500
P 0.5000 0.5000 0.7500
Rh 0.0000 0.0000 0.9508
Rh 0.0000 0.0000 0.5492

Properties
Total DFT energy (no corrections)   -5.673 eV per atom
Excess energy over the best structure of this formula in the dataset   1.17 eV per formula unit
SG   No. 65

=====

PRh2Cl: optimized geometry, PBE.

Lattice parameters (Å, degrees): 6.8371 6.8371 6.8371 152.73 153.67 38.27
Fractional positions:
Cl 0.4471 0.4471 0.0000
P 0.2004 0.7004 0.5000
Rh 0.0820 0.0820 0.0000
Rh 0.7704 0.2704 0.5000

Properties
Total DFT energy (no corrections)   -5.769 eV per atom
Excess energy over the best structure of this formula in the dataset   0.79 eV per formula unit
SG   No. 44

=====

PRh2Cl: optimized geometry, PBE.

Lattice parameters (Å, degrees): 4.0882 3.5507 5.7386 84.60 90.00 90.00
Fractional positions:
Cl 0.0000 0.4350 0.4098
P 0.5000 0.8810 0.8920
Rh 0.0000 0.8434 0.0480
Rh 0.5000 0.3407 0.1502

Properties
Total DFT energy (no corrections)   -5.631 eV per atom
Excess energy over the best structure of this formula in the dataset   1.34 eV per formula unit
SG   No. 6

=====

PRh2Cl: optimized geometry, PBE.

Lattice parameters (Å, degrees): 2.9595 2.9595 6.7800 90.00 90.00 90.00
Fractional positions:
Cl 0.5000 0.5000 0.2500
P 0.5000 0.5000 0.7500
Rh 0.0000 0.0000 0.9475
Rh 0.0000 0.0000 0.5525

Properties
Total DFT energy (no corrections)   -5.624 eV per atom
Excess energy over the best structure of this formula in the dataset   1.37 eV per formula unit
SG   No. 123

=====

P2Rh2Cl: optimized geometry, PBE.

Lattice parameters (Å, degrees): 7.3691 7.3691 2.9593 90.00 90.00 90.00
Fractional positions:
P 0.3693 0.8693 0.0000
P 0.8693 0.6307 0.0000
P 0.6307 0.1307 0.0000
P 0.1307 0.3693 0.0000
Rh 0.1309 0.6309 0.5000
Rh 0.6309 0.8691 0.5000
Rh 0.8691 0.3691 0.5000
Rh 0.3691 0.1309 0.5000
Cl 0.0000 0.0000 0.0000
Cl 0.5000 0.5000 0.0000

Properties
Total DFT energy (no corrections)   -5.483 eV per atom
Excess energy over the best structure of this formula in the dataset   1.69 eV per formula unit
SG   No. 127

=====

PRh2Cl: optimized geometry, PBE.

Lattice parameters (Å, degrees): 5.1966 5.1966 5.1966 143.16 96.32 95.14
Fractional positions:
Cl 0.7500 0.2500 0.5000
P 0.2500 0.7500 0.5000
Rh 0.0472 0.0472 0.0000
Rh 0.4528 0.4528 0.0000

Properties
Total DFT energy (no corrections)   -5.595 eV per atom
Excess energy over the best structure of this formula in the dataset   1.49 eV per formula unit
SG   No. 71

=====

PRh2Cl: optimized geometry, PBE.

Lattice parameters (Å, degrees): 5.5660 5.5660 5.5660 143.56 143.56 52.48
Fractional positions:
Cl 0.5000 0.5000 0.0000
P 0.7500 0.2500 0.5000
Rh 0.0000 0.0000 0.0000
Rh 0.2500 0.7500 0.5000

Properties
Total DFT energy (no corrections)   -5.158 eV per atom
Excess energy over the best structure of this formula in the dataset   3.23 eV per formula unit
SG   No. 119

=====

PRh2Cl: optimized geometry, PBE.

Lattice parameters (Å, degrees): 3.5942 3.5942 6.3719 95.25 95.25 59.61
Fractional positions:
Cl 0.5840 0.5840 0.4694
P 0.3033 0.3033 0.0032
Rh 0.9942 0.9942 0.1753
Rh 0.6185 0.6185 0.8521

Properties
Total DFT energy (no corrections)   -5.966 eV per atom
Excess energy over the best structure of this formula in the dataset   0.00 eV per formula unit
SG   No. 8

=====

P4RhCl: optimized geometry, PBE.

Lattice parameters (Å, degrees): 5.4935 5.4935 5.4935 60.00 60.00 60.00
Each line ends with the local moment (μB).
Fractional positions:
P 0.9453 0.3516 0.3516  0.04
P 0.3516 0.3516 0.9453  0.04
P 0.3516 0.9453 0.3516  0.04
P 0.3516 0.3516 0.3516  0.04
Rh 0.7500 0.7500 0.7500  1.57
Cl 0.0000 0.0000 0.0000  0.07

Properties
Total DFT energy (no corrections)   -4.512 eV per atom
SG   No. 216

=====

PRh2Cl: optimized geometry, PBE.

Lattice parameters (Å, degrees): 5.4073 5.4073 6.5935 65.79 65.79 90.00
Fractional positions:
P 0.5000 0.5000 0.0000
P 0.2500 0.7500 0.5000
Rh 0.5792 0.1250 0.2500
Rh 0.1708 0.6250 0.2500
Rh 0.3750 0.4208 0.7500
Rh 0.8750 0.8292 0.7500
Cl 0.0000 0.0000 0.0000
Cl 0.7500 0.2500 0.5000

Properties
Total DFT energy (no corrections)   -5.626 eV per atom
Excess energy over the best structure of this formula in the dataset   1.36 eV per formula unit
SG   No. 122

=====

PRh2Cl: optimized geometry, PBE.

Lattice parameters (Å, degrees): 3.5428 3.5428 6.4252 73.82 73.82 59.98
Fractional positions:
Cl 0.7500 0.7500 0.7500
P 0.2500 0.2500 0.2500
Rh 0.9751 0.9751 0.0766
Rh 0.5249 0.5249 0.4234

Properties
Total DFT energy (no corrections)   -5.936 eV per atom
Excess energy over the best structure of this formula in the dataset   0.12 eV per formula unit
SG   No. 12

=====

PRh3Cl: optimized geometry, PBE.

Lattice parameters (Å, degrees): 4.4563 4.4563 4.4563 90.00 90.00 90.00
Each line ends with the local moment (μB).
Fractional positions:
P 0.0000 0.0000 0.0000  -0.02
Rh 0.0000 0.5000 0.0000  0.47
Rh 0.0000 0.0000 0.5000  0.41
Rh 0.5000 0.0000 0.0000  0.30
Cl 0.5000 0.5000 0.5000  0.04

Properties
Total DFT energy (no corrections)   -5.520 eV per atom
Excess energy over the best structure of this formula in the dataset   0.00 eV per formula unit
SG   No. 221

=====

PRh2Cl: optimized geometry, PBE.

Lattice parameters (Å, degrees): 3.0483 3.5665 6.2384 90.00 90.00 90.00
Fractional positions:
Cl 0.0000 0.0000 0.4586
P 0.5000 0.5000 0.8777
Rh 0.0000 0.0000 0.9382
Rh 0.5000 0.5000 0.2255

Properties
Total DFT energy (no corrections)   -5.529 eV per atom
Excess energy over the best structure of this formula in the dataset   1.75 eV per formula unit
SG   No. 25

=====

PRh2Cl: optimized geometry, PBE.

Lattice parameters (Å, degrees): 4.3226 4.3226 4.3226 60.00 60.00 60.00
Each line ends with the local moment (μB).
Fractional positions:
P 0.0000 0.0000 0.0000  -0.01
Rh 0.2500 0.2500 0.2500  0.23
Rh 0.7500 0.7500 0.7500  0.23
Cl 0.5000 0.5000 0.5000  0.03

Properties
Total DFT energy (no corrections)   -5.297 eV per atom
Excess energy over the best structure of this formula in the dataset   2.68 eV per formula unit
SG   No. 225

=====

PRh4Cl: optimized geometry, PBE.

Lattice parameters (Å, degrees): 5.1885 5.1885 5.1885 60.00 60.00 60.00
Each line ends with the local moment (μB).
Fractional positions:
P 0.0000 0.0000 0.0000  -0.02
Rh 0.8766 0.3745 0.3745  0.53
Rh 0.3745 0.3745 0.8766  0.53
Rh 0.3745 0.8766 0.3745  0.53
Rh 0.3745 0.3745 0.3745  0.53
Cl 0.7500 0.7500 0.7500  0.11

Properties
Total DFT energy (no corrections)   -5.294 eV per atom
SG   No. 216

=====

PRh2Cl: optimized geometry, PBE.

Lattice parameters (Å, degrees): 2.8979 5.6506 3.8755 90.00 90.00 90.00
Fractional positions:
Cl 0.5000 0.0000 0.5000
P 0.0000 0.5000 0.5000
Rh 0.0000 0.0000 0.0000
Rh 0.5000 0.5000 0.0000

Properties
Total DFT energy (no corrections)   -5.200 eV per atom
Excess energy over the best structure of this formula in the dataset   3.07 eV per formula unit
SG   No. 47

=====

PRh2Cl: optimized geometry, PBE.

Lattice parameters (Å, degrees): 4.4032 4.4032 4.4032 60.00 60.00 60.00
Fractional positions:
Cl 0.5000 0.5000 0.5000
P 0.7500 0.7500 0.7500
Rh 0.0000 0.0000 0.0000
Rh 0.2500 0.2500 0.2500

Properties
Total DFT energy (no corrections)   -4.892 eV per atom
Excess energy over the best structure of this formula in the dataset   4.30 eV per formula unit
SG   No. 216

=====

PRh2Cl: optimized geometry, PBE.

Lattice parameters (Å, degrees): 3.0336 2.9523 6.9237 91.87 90.00 90.00
Fractional positions:
Cl 0.5000 0.2500 0.2500
P 0.5000 0.7500 0.7500
Rh 0.0000 0.1901 0.9400
Rh 0.0000 0.3099 0.5600

Properties
Total DFT energy (no corrections)   -5.723 eV per atom
Excess energy over the best structure of this formula in the dataset   0.97 eV per formula unit
SG   No. 10

=====

P2Rh2Cl: optimized geometry, PBE.

Lattice parameters (Å, degrees): 4.0078 4.0078 5.9291 70.25 70.25 90.00
Fractional positions:
P 0.3683 0.3683 0.2633
P 0.6317 0.6317 0.7367
Rh 0.7500 0.2500 0.5000
Rh 0.2500 0.7500 0.5000
Cl 0.0000 0.0000 0.0000

Properties
Total DFT energy (no corrections)   -5.822 eV per atom
Excess energy over the best structure of this formula in the dataset   0.00 eV per formula unit
SG   No. 139

=====

P2RuRhCl: optimized geometry, PBE.

Lattice parameters (Å, degrees): 4.5247 4.5247 4.8393 90.00 90.00 90.00
Each line ends with the local moment (μB).
Fractional positions:
Ru 0.5000 0.5000 0.5000  2.22
Rh 0.0000 0.0000 0.0000  -0.09
P 0.0000 0.5000 0.0000  -0.07
P 0.5000 0.0000 0.0000  -0.07
Cl 0.0000 0.0000 0.5000  0.05

Properties
Total DFT energy (no corrections)   -4.909 eV per atom
Excess energy over the best structure of this formula in the dataset   0.85 eV per formula unit
SG   No. 123

=====

P2RuRhCl: optimized geometry, PBE.

Lattice parameters (Å, degrees): 4.4652 4.4652 4.9059 90.00 90.00 90.00
Each line ends with the local moment (μB).
Fractional positions:
Ru 0.0000 0.0000 0.0000  -0.08
Rh 0.5000 0.5000 0.5000  0.60
P 0.0000 0.5000 0.0000  0.00
P 0.5000 0.0000 0.0000  0.00
Cl 0.0000 0.0000 0.5000  0.05

Properties
Total DFT energy (no corrections)   -5.080 eV per atom
Excess energy over the best structure of this formula in the dataset   0.00 eV per formula unit
SG   No. 123

=====

What V values result from the calculations? In sequence: 110; 102; 104; 106; 100; 109; 104; 128; 66; 65; 83; 59; 161; 80; 60; 71; 117; 157; 66; 88; 68; 57; 99; 63; 60; 62; 84; 99; 98 Å³ per cell.
What energy relative to the elements, uncorrected values result from the calculations? In sequence: 0.759; 0.856; 1.402; 1.362; 1.412; 0.422; 0.591; 0.539; -0.183; -0.279; -0.141; -0.134; -0.009; -0.105; 0.332; -0.476; 0.628; -0.136; -0.446; 0.343; -0.039; 0.193; 0.817; 0.290; 0.597; -0.233; -0.348; 0.950; 0.779 eV/atom.